(1)
A relaxed structure of Nd6Co2Br3Cl. Source: the Alexandria database, functional PBE.

Values from the calculation:
total moment: 0.00 μB per formula unit
V: 27.77 Å³/atom
formation energy (no corrections): -0.893 eV/atom
mass density: 6.3 g/cm³
crystal system: monoclinic

Structure (CIF):
```
data_Nd6Co2Br3Cl
_cell_length_a 3.9528
_cell_length_b 9.1914
_cell_length_c 9.8217
_cell_angle_alpha 107.21
_cell_angle_beta 101.61
_cell_angle_gamma 90.00
_space_group_name_H-M_alt 'P 1'
_space_group_IT_number 1
loop_
_space_group_symop_operation_xyz
'x,y,z'
loop_
_atom_site_label
_atom_site_fract_x
_atom_site_fract_y
_atom_site_fract_z
Nd1 0.3310 0.8689 0.6620
Nd2 0.6786 0.5405 0.3572
Nd3 0.6690 0.1311 0.3380
Nd4 0.0206 0.2457 0.0412
Nd5 0.9794 0.7543 0.9588
Nd6 0.3214 0.4595 0.6428
Co1 0.8352 0.6739 0.6704
Co2 0.1648 0.3261 0.3296
Br1 0.5000 0.5000 0.0000
Br2 0.8400 0.1677 0.6799
Br3 0.1600 0.8323 0.3201
Cl1 0.5000 0.0000 0.0000
```

(2)
A relaxed structure of Nd6Co2BrCl3. Source: the Alexandria database, functional PBE.

Values from the calculation:
total moment: 0.00 μB per formula unit
V: 26.44 Å³/atom
formation energy (no corrections): -0.958 eV/atom
mass density: 6.1 g/cm³
crystal system: monoclinic

Structure (CIF):
```
data_Nd6Co2BrCl3
_cell_length_a 3.9803
_cell_length_b 8.7367
_cell_length_c 9.4847
_cell_angle_alpha 100.10
_cell_angle_beta 102.11
_cell_angle_gamma 90.00
_space_group_name_H-M_alt 'P 1'
_space_group_IT_number 1
loop_
_space_group_symop_operation_xyz
'x,y,z'
loop_
_atom_site_label
_atom_site_fract_x
_atom_site_fract_y
_atom_site_fract_z
Nd1 0.3160 0.8738 0.6320
Nd2 0.6752 0.5530 0.3504
Nd3 0.6840 0.1262 0.3680
Nd4 0.0264 0.2756 0.0528
Nd5 0.9736 0.7244 0.9472
Nd6 0.3248 0.4470 0.6496
Co1 0.8285 0.6726 0.6570
Co2 0.1715 0.3274 0.3429
Br1 0.5000 0.0000 0.0000
Cl1 0.5000 0.5000 0.0000
Cl2 0.8556 0.1805 0.7113
Cl3 0.1444 0.8195 0.2887
```

(3)
A relaxed structure of Pm4CoBrCl2. Source: the Alexandria database, functional PBE.

Values from the calculation:
total moment: 0.00 μB per formula unit
V: 26.42 Å³/atom
formation energy (no corrections): -1.032 eV/atom
mass density: 6.2 g/cm³
crystal system: monoclinic

Structure (CIF):
```
data_Pm4CoBrCl2
_cell_length_a 3.9491
_cell_length_b 7.7542
_cell_length_c 7.2646
_cell_angle_alpha 108.16
_cell_angle_beta 90.00
_cell_angle_gamma 90.00
_space_group_name_H-M_alt 'P 1'
_space_group_IT_number 1
loop_
_space_group_symop_operation_xyz
'x,y,z'
loop_
_atom_site_label
_atom_site_fract_x
_atom_site_fract_y
_atom_site_fract_z
Pm1 0.5000 0.2937 0.2431
Pm2 0.5000 0.7063 0.7569
Pm3 0.0000 0.2960 0.7897
Pm4 0.0000 0.7040 0.2103
Co1 0.5000 0.5000 0.0000
Br1 0.0000 0.0000 0.0000
Cl1 0.5000 0.0000 0.5000
Cl2 0.0000 0.5000 0.5000
```

(4)
A relaxed structure of Pm4CoBr2Cl. Source: the Alexandria database, functional PBE.

Values from the calculation:
total moment: 0.00 μB per formula unit
V: 27.22 Å³/atom
formation energy (no corrections): -0.992 eV/atom
mass density: 6.4 g/cm³
crystal system: monoclinic

Structure (CIF):
```
data_Pm4CoBr2Cl
_cell_length_a 3.9592
_cell_length_b 7.3678
_cell_length_c 7.8261
_cell_angle_alpha 107.50
_cell_angle_beta 90.00
_cell_angle_gamma 90.00
_space_group_name_H-M_alt 'P 1'
_space_group_IT_number 1
loop_
_space_group_symop_operation_xyz
'x,y,z'
loop_
_atom_site_label
_atom_site_fract_x
_atom_site_fract_y
_atom_site_fract_z
Pm1 0.5000 0.2598 0.2044
Pm2 0.5000 0.7402 0.7956
Pm3 0.0000 0.2957 0.8007
Pm4 0.0000 0.7043 0.1993
Co1 0.5000 0.5000 0.0000
Br1 0.5000 0.0000 0.5000
Br2 0.0000 0.5000 0.5000
Cl1 0.0000 0.0000 0.0000
```

(5)
A relaxed structure of Pm8Co3Br3Cl. Source: the Alexandria database, functional PBE.

Values from the calculation:
total moment: 0.00 μB per formula unit
V: 27.99 Å³/atom
formation energy (no corrections): -0.721 eV/atom
mass density: 6.4 g/cm³
crystal system: trigonal

Structure (CIF):
```
data_Pm8Co3Br3Cl
_cell_length_a 8.1823
_cell_length_b 8.1817
_cell_length_c 8.6480
_cell_angle_alpha 118.25
_cell_angle_beta 90.00
_cell_angle_gamma 120.00
_space_group_name_H-M_alt 'P 1'
_space_group_IT_number 1
loop_
_space_group_symop_operation_xyz
'x,y,z'
loop_
_atom_site_label
_atom_site_fract_x
_atom_site_fract_y
_atom_site_fract_z
Pm1 0.2685 0.5370 0.3056
Pm2 0.7315 0.4630 0.6944
Pm3 0.7471 0.4943 0.2890
Pm4 0.2529 0.5057 0.7110
Pm5 0.7470 0.0415 0.2893
Pm6 0.2530 0.9585 0.7107
Pm7 0.2945 0.0415 0.2893
Pm8 0.7055 0.9585 0.7107
Co1 0.5000 0.0000 0.5000
Co2 0.5000 0.5000 0.5000
Co3 0.0000 0.5000 0.5000
Br1 0.0000 0.0000 0.0000
Br2 0.0000 0.5000 0.0000
Br3 0.5000 0.5000 0.0000
Cl1 0.0000 0.0000 0.5000
```

(6)
A relaxed structure of Pm3CoBrCl. Source: the Alexandria database, functional PBE.

Values from the calculation:
total moment: 0.54 μB per formula unit
V: 28.69 Å³/atom
formation energy (no corrections): -0.938 eV/atom
mass density: 5.9 g/cm³
crystal system: monoclinic

Structure (CIF):
```
data_Pm3CoBrCl
_cell_length_a 3.9756
_cell_length_b 8.8920
_cell_length_c 9.7950
_cell_angle_alpha 96.19
_cell_angle_beta 90.00
_cell_angle_gamma 90.00
_space_group_name_H-M_alt 'P 1'
_space_group_IT_number 1
loop_
_space_group_symop_operation_xyz
'x,y,z'
loop_
_atom_site_label
_atom_site_fract_x
_atom_site_fract_y
_atom_site_fract_z
Pm1 0.7500 0.7830 0.1133
Pm2 0.2500 0.2170 0.8867
Pm3 0.2500 0.6498 0.4068
Pm4 0.7500 0.3502 0.5932
Pm5 0.7500 0.3869 0.1830
Pm6 0.2500 0.6131 0.8170
Co1 0.2500 0.5693 0.1104
Co2 0.7500 0.4307 0.8896
Br1 0.2500 0.0902 0.1632
Br2 0.7500 0.9098 0.8368
Cl1 0.2500 0.1262 0.6007
Cl2 0.7500 0.8738 0.3993
```

(7)
A relaxed structure of Pm6Co2Br3Cl. Source: the Alexandria database, functional PBE.

Values from the calculation:
total moment: 0.00 μB per formula unit
V: 27.29 Å³/atom
formation energy (no corrections): -0.892 eV/atom
mass density: 6.4 g/cm³
crystal system: monoclinic

Structure (CIF):
```
data_Pm6Co2Br3Cl
_cell_length_a 3.9240
_cell_length_b 9.1388
_cell_length_c 9.7598
_cell_angle_alpha 106.83
_cell_angle_beta 101.60
_cell_angle_gamma 90.00
_space_group_name_H-M_alt 'P 1'
_space_group_IT_number 1
loop_
_space_group_symop_operation_xyz
'x,y,z'
loop_
_atom_site_label
_atom_site_fract_x
_atom_site_fract_y
_atom_site_fract_z
Pm1 0.3298 0.8661 0.6596
Pm2 0.6784 0.5406 0.3567
Pm3 0.6702 0.1339 0.3404
Pm4 0.0222 0.2468 0.0444
Pm5 0.9778 0.7532 0.9556
Pm6 0.3216 0.4594 0.6433
Co1 0.8344 0.6725 0.6688
Co2 0.1656 0.3275 0.3312
Br1 0.5000 0.5000 0.0000
Br2 0.8413 0.1660 0.6827
Br3 0.1587 0.8340 0.3173
Cl1 0.5000 0.0000 0.0000
```

(8)
A relaxed structure of Pm6Co2BrCl3. Source: the Alexandria database, functional PBE.

Values from the calculation:
total moment: 0.00 μB per formula unit
V: 25.91 Å³/atom
formation energy (no corrections): -0.958 eV/atom
mass density: 6.3 g/cm³
crystal system: monoclinic

Structure (CIF):
```
data_Pm6Co2BrCl3
_cell_length_a 3.9519
_cell_length_b 8.6334
_cell_length_c 9.4622
_cell_angle_alpha 99.76
_cell_angle_beta 102.05
_cell_angle_gamma 90.00
_space_group_name_H-M_alt 'P 1'
_space_group_IT_number 1
loop_
_space_group_symop_operation_xyz
'x,y,z'
loop_
_atom_site_label
_atom_site_fract_x
_atom_site_fract_y
_atom_site_fract_z
Pm1 0.3151 0.8734 0.6303
Pm2 0.6749 0.5537 0.3498
Pm3 0.6849 0.1266 0.3697
Pm4 0.0281 0.2762 0.0562
Pm5 0.9719 0.7238 0.9438
Pm6 0.3251 0.4463 0.6502
Co1 0.8275 0.6720 0.6551
Co2 0.1725 0.3280 0.3449
Br1 0.5000 0.0000 0.0000
Cl1 0.5000 0.5000 0.0000
Cl2 0.8587 0.1836 0.7173
Cl3 0.1413 0.8164 0.2827
```

(9)
A relaxed structure of Pr6Co2BrCl3. Source: the Alexandria database, functional PBE.

Values from the calculation:
total moment: 0.00 μB per formula unit
V: 27.00 Å³/atom
formation energy (no corrections): -0.959 eV/atom
mass density: 5.9 g/cm³
crystal system: monoclinic

Structure (CIF):
```
data_Pr6Co2BrCl3
_cell_length_a 4.0103
_cell_length_b 8.8282
_cell_length_c 9.5265
_cell_angle_alpha 100.41
_cell_angle_beta 102.15
_cell_angle_gamma 90.00
_space_group_name_H-M_alt 'P 1'
_space_group_IT_number 1
loop_
_space_group_symop_operation_xyz
'x,y,z'
loop_
_atom_site_label
_atom_site_fract_x
_atom_site_fract_y
_atom_site_fract_z
Pr1 0.3170 0.8747 0.6341
Pr2 0.6754 0.5525 0.3508
Pr3 0.6830 0.1253 0.3659
Pr4 0.0248 0.2749 0.0496
Pr5 0.9752 0.7251 0.9504
Pr6 0.3246 0.4475 0.6492
Co1 0.8294 0.6732 0.6588
Co2 0.1706 0.3268 0.3412
Br1 0.5000 0.0000 0.0000
Cl1 0.5000 0.5000 0.0000
Cl2 0.8533 0.1782 0.7066
Cl3 0.1467 0.8218 0.2934
```

(10)
A relaxed structure of Pr4CoBr2Cl. Source: the Alexandria database, functional PBE.

Values from the calculation:
total moment: 0.00 μB per formula unit
V: 28.14 Å³/atom
formation energy (no corrections): -1.000 eV/atom
mass density: 6.0 g/cm³
crystal system: monoclinic

Structure (CIF):
```
data_Pr4CoBr2Cl
_cell_length_a 4.0086
_cell_length_b 7.4327
_cell_length_c 7.9136
_cell_angle_alpha 107.28
_cell_angle_beta 90.00
_cell_angle_gamma 90.00
_space_group_name_H-M_alt 'P 1'
_space_group_IT_number 1
loop_
_space_group_symop_operation_xyz
'x,y,z'
loop_
_atom_site_label
_atom_site_fract_x
_atom_site_fract_y
_atom_site_fract_z
Pr1 0.5000 0.2568 0.2103
Pr2 0.5000 0.7432 0.7897
Pr3 0.0000 0.2930 0.7998
Pr4 0.0000 0.7070 0.2002
Co1 0.5000 0.5000 0.0000
Br1 0.5000 0.0000 0.5000
Br2 0.0000 0.5000 0.5000
Cl1 0.0000 0.0000 0.0000
```

(11)
A relaxed structure of CoS2BrCl. Source: the Alexandria database, functional PBE.

Values from the calculation:
total moment: 1.30 μB per formula unit
V: 18.70 Å³/atom
formation energy (no corrections): 0.381 eV/atom
mass density: 4.2 g/cm³
crystal system: tetragonal

Structure (CIF):
```
data_CoS2BrCl
_cell_length_a 4.4896
_cell_length_b 4.4896
_cell_length_c 4.6381
_cell_angle_alpha 90.00
_cell_angle_beta 90.00
_cell_angle_gamma 90.00
_space_group_name_H-M_alt 'P 1'
_space_group_IT_number 1
loop_
_space_group_symop_operation_xyz
'x,y,z'
loop_
_atom_site_label
_atom_site_fract_x
_atom_site_fract_y
_atom_site_fract_z
S1 0.0000 0.5000 0.0000
S2 0.5000 0.0000 0.0000
Co1 0.0000 0.0000 0.0000
Br1 0.5000 0.5000 0.5000
Cl1 0.0000 0.0000 0.5000
```

(12)
A relaxed structure of CoSe2BrCl. Source: the Alexandria database, functional PBE.

Values from the calculation:
total moment: 2.20 μB per formula unit
V: 25.87 Å³/atom
formation energy (no corrections): 1.232 eV/atom
mass density: 4.3 g/cm³
crystal system: tetragonal

Structure (CIF):
```
data_CoSe2BrCl
_cell_length_a 5.0253
_cell_length_b 5.0253
_cell_length_c 5.1217
_cell_angle_alpha 90.00
_cell_angle_beta 90.00
_cell_angle_gamma 90.00
_space_group_name_H-M_alt 'P 1'
_space_group_IT_number 1
loop_
_space_group_symop_operation_xyz
'x,y,z'
loop_
_atom_site_label
_atom_site_fract_x
_atom_site_fract_y
_atom_site_fract_z
Co1 0.5000 0.5000 0.5000
Se1 0.0000 0.5000 0.0000
Se2 0.5000 0.0000 0.0000
Br1 0.0000 0.0000 0.5000
Cl1 0.0000 0.0000 0.0000
```